1.
Computed, not measured: a relaxed structure of Sr2SiAg at the GGA-PBE level of DFT.

Formation energy without anion corrections in eV per atom: 0.077
Space-group type: F-43m (216)

Cell lengths 5.3213, 5.3213, 5.3213 Å; angles 60.00, 60.00, 60.00 degrees
Atoms (fractional coordinates):
Sr 0.0000 0.0000 0.0000
Sr 0.2500 0.2500 0.2500
Si 0.5000 0.5000 0.5000
Ag 0.7500 0.7500 0.7500



2.
Computed, not measured: a relaxed structure of Na3TeC at the GGA-PBE level of DFT.

Formation energy without anion corrections in eV per atom: 0.711
Space-group type: Pm-3m (221)
Energy above the most stable polymorph in this dataset in meV per atom: 299

Cell lengths 5.8279, 5.8279, 5.8279 Å; angles 90.00, 90.00, 90.00 degrees
Atoms (fractional coordinates):
Na 0.0000 0.0000 0.5000
Na 0.0000 0.5000 0.0000
Na 0.5000 0.0000 0.0000
Te 0.0000 0.0000 0.0000
C 0.5000 0.5000 0.5000



3.
Computed, not measured: a relaxed structure of VAgRu3 at the GGA-PBE level of DFT.

DFT formation energy in kJ/mol of formula units: 550
Space-group type: Pm-3m (221)
Energy above the most stable polymorph in this dataset in meV per atom: 0

Cell lengths 4.4762, 4.4762, 4.4762 Å; angles 90.00, 90.00, 90.00 degrees
Atoms (fractional coordinates):
V 0.0000 0.0000 0.0000
Ag 0.5000 0.5000 0.5000
Ru 0.0000 0.0000 0.5000
Ru 0.0000 0.5000 0.0000
Ru 0.5000 0.0000 0.0000



4.
Computed, not measured: a relaxed structure of PrSm5Tm4 at the GGA-PBE level of DFT.

DFT formation energy in kJ/mol of formula units: 19
Space-group type: C2/m (12)
Energy above the most stable polymorph in this dataset in meV per atom: 0

Cell lengths 9.4850, 9.4850, 10.0762 Å; angles 105.42, 105.42, 21.81 degrees
Atoms (fractional coordinates):
Pr 0.0000 0.0000 0.0000
Sm 0.0000 0.0000 0.5000
Sm 0.1993 0.1993 0.1000
Sm 0.1987 0.1987 0.5991
Sm 0.8013 0.8013 0.4009
Sm 0.8007 0.8007 0.9000
Tm 0.4000 0.4000 0.2014
Tm 0.4002 0.4002 0.6988
Tm 0.5998 0.5998 0.3012
Tm 0.6000 0.6000 0.7986